1.
! CuRe2W (PBE, relaxed); values from VASP
&SYSTEM
  ibrav = 0, nat = 4, ntyp = 3
/
ATOMIC_SPECIES
Cu 63.55 Cu.upf
Re 186.21 Re.upf
W 183.84 W.upf
ATOMIC_POSITIONS crystal
Cu 0.000 0.000 0.000
Re 0.500 0.500 0.239
Re 0.500 0.500 0.761
W 0.000 0.000 0.500
CELL_PARAMETERS angstrom
2.752 0.000 0.000
0.000 2.752 0.000
0.000 0.000 7.779
! crystal system = tetragonal
! energy of formation from the pure elements = 0.3787 eV/atom

---

2.
! LiCeLuSc (PBE, relaxed); values from VASP
&SYSTEM
  ibrav = 0, nat = 4, ntyp = 4
/
ATOMIC_SPECIES
Li 6.94 Li.upf
Ce 140.12 Ce.upf
Lu 174.97 Lu.upf
Sc 44.96 Sc.upf
ATOMIC_POSITIONS crystal
Li 0.000 0.000 0.000
Ce 0.750 0.750 0.750
Lu 0.250 0.250 0.250
Sc 0.500 0.500 0.500
CELL_PARAMETERS angstrom
0.000 3.747 3.747
3.747 0.000 3.747
3.747 3.747 0.000
! crystal system = cubic
! energy of formation from the pure elements = 0.2165 eV/atom

---

3.
! La6MgSi2 (PBE, relaxed); values from VASP
&SYSTEM
  ibrav = 0, nat = 18, ntyp = 3
/
ATOMIC_SPECIES
La 138.91 La.upf
Mg 24.30 Mg.upf
Si 28.09 Si.upf
ATOMIC_POSITIONS crystal
La 0.038 0.246 0.792
La 0.177 0.276 0.453
La 0.177 0.724 0.901
La 0.323 0.025 0.701
La 0.323 0.622 0.299
La 0.455 0.246 0.208
La 0.545 0.754 0.792
La 0.677 0.378 0.701
La 0.677 0.975 0.299
La 0.823 0.276 0.099
La 0.823 0.724 0.547
La 0.962 0.754 0.208
Mg 0.000 0.000 0.000
Mg 0.500 0.500 0.000
Si 0.112 0.612 0.500
Si 0.361 0.000 0.361
Si 0.639 0.000 0.639
Si 0.888 0.388 0.500
CELL_PARAMETERS angstrom
-5.121 5.169 5.351
5.121 -5.169 5.351
5.121 5.169 -5.351
! raw formation energy = -3.23 eV per formula unit
! crystal system = orthorhombic

---

4.
! Be2PAuI (PBE, relaxed); values from VASP
&SYSTEM
  ibrav = 0, nat = 5, ntyp = 4
/
ATOMIC_SPECIES
Be 9.01 Be.upf
P 30.97 P.upf
Au 196.97 Au.upf
I 126.90 I.upf
ATOMIC_POSITIONS crystal
Be 0.000 0.500 0.000
Be 0.500 0.000 0.000
P 0.000 0.000 0.500
Au 0.000 0.000 0.000
I 0.500 0.500 0.500
CELL_PARAMETERS angstrom
4.532 0.000 0.000
0.000 4.532 0.000
0.000 0.000 4.988
! raw formation energy = 3.61 eV per formula unit
! crystal system = tetragonal

---

5.
! Ac2La3Nd2 (PBE, relaxed); values from VASP
&SYSTEM
  ibrav = 0, nat = 14, ntyp = 3
/
ATOMIC_SPECIES
Ac 227.00 Ac.upf
La 138.91 La.upf
Nd 144.24 Nd.upf
ATOMIC_POSITIONS crystal
Ac 0.089 0.120 0.161
Ac 0.089 0.380 0.661
Ac 0.911 0.620 0.339
Ac 0.911 0.880 0.839
La 0.480 0.712 0.828
La 0.480 0.788 0.328
La 0.500 0.000 0.000
La 0.500 0.500 0.500
La 0.520 0.212 0.672
La 0.520 0.288 0.172
Nd 0.080 0.608 0.928
Nd 0.080 0.892 0.428
Nd 0.920 0.108 0.572
Nd 0.920 0.392 0.072
CELL_PARAMETERS angstrom
6.731 0.000 0.000
0.000 13.309 0.000
-3.921 0.000 6.195
! energy above the lowest structure with this stoichiometry = 34.6 meV/atom
! crystal system = monoclinic
! energy of formation from the pure elements = 0.1534 eV/atom

---

6.
! ScV2Cu (PBE, relaxed); values from VASP
&SYSTEM
  ibrav = 0, nat = 8, ntyp = 3
/
ATOMIC_SPECIES
Sc 44.96 Sc.upf
V 50.94 V.upf
Cu 63.55 Cu.upf
ATOMIC_POSITIONS crystal
Sc 0.000 0.000 0.000
Sc 0.750 0.250 0.500
V 0.159 0.625 0.034
V 0.375 0.409 0.534
V 0.591 0.125 0.966
V 0.875 0.841 0.466
Cu 0.250 0.750 0.500
Cu 0.500 0.500 0.000
CELL_PARAMETERS angstrom
-3.598 3.598 2.499
3.598 -3.598 2.499
3.598 3.598 -2.499
! energy above the lowest structure with this stoichiometry = 81.8 meV/atom
! crystal system = tetragonal
! energy of formation from the pure elements = 0.5486 eV/atom

---

7.
! TaTe3S (PBE, relaxed); values from VASP
&SYSTEM
  ibrav = 0, nat = 5, ntyp = 3
/
ATOMIC_SPECIES
Ta 180.95 Ta.upf
Te 127.60 Te.upf
S 32.06 S.upf
ATOMIC_POSITIONS crystal
Ta 0.000 0.000 0.000
Te 0.000 0.500 0.500
Te 0.500 0.000 0.500
Te 0.500 0.500 0.000
S 0.500 0.500 0.500
CELL_PARAMETERS angstrom
5.080 0.000 0.000
0.000 5.080 0.000
0.000 0.000 5.080
! raw formation energy = 5.47 eV per formula unit
! energy above the lowest structure with this stoichiometry = 577.9 meV/atom
! crystal system = cubic

---

8.
! Dy6GeBi2 (PBE, relaxed); values from VASP
&SYSTEM
  ibrav = 0, nat = 18, ntyp = 3
/
ATOMIC_SPECIES
Dy 162.50 Dy.upf
Ge 72.64 Ge.upf
Bi 208.98 Bi.upf
ATOMIC_POSITIONS crystal
Dy 0.085 0.191 0.455
Dy 0.085 0.309 0.955
Dy 0.324 0.673 0.457
Dy 0.324 0.827 0.957
Dy 0.366 0.032 0.236
Dy 0.366 0.468 0.736
Dy 0.634 0.532 0.264
Dy 0.634 0.968 0.764
Dy 0.676 0.173 0.043
Dy 0.676 0.327 0.543
Dy 0.915 0.691 0.045
Dy 0.915 0.809 0.545
Ge 0.500 0.000 0.500
Ge 0.500 0.500 0.000
Bi 0.150 0.113 0.746
Bi 0.150 0.387 0.246
Bi 0.850 0.613 0.754
Bi 0.850 0.887 0.254
CELL_PARAMETERS angstrom
6.363 0.000 0.000
0.000 8.185 0.000
-6.224 0.000 10.263
! crystal system = monoclinic
! energy of formation from the pure elements = -0.5384 eV/atom

---

9.
! CdIn2Si2Pd5 (PBE, relaxed); values from VASP
&SYSTEM
  ibrav = 0, nat = 20, ntyp = 4
/
ATOMIC_SPECIES
Cd 112.41 Cd.upf
In 114.82 In.upf
Si 28.09 Si.upf
Pd 106.42 Pd.upf
ATOMIC_POSITIONS crystal
Cd 0.000 0.000 0.000
Cd 0.500 0.500 0.000
In 0.179 0.321 0.000
In 0.321 0.821 0.000
In 0.679 0.179 0.000
In 0.821 0.679 0.000
Si 0.130 0.630 0.000
Si 0.370 0.130 0.000
Si 0.630 0.870 0.000
Si 0.870 0.370 0.000
Pd 0.000 0.500 0.500
Pd 0.030 0.779 0.500
Pd 0.221 0.030 0.500
Pd 0.279 0.530 0.500
Pd 0.470 0.279 0.500
Pd 0.500 0.000 0.500
Pd 0.530 0.721 0.500
Pd 0.721 0.470 0.500
Pd 0.779 0.970 0.500
Pd 0.970 0.221 0.500
CELL_PARAMETERS angstrom
10.003 0.000 0.000
0.000 10.003 0.000
0.000 0.000 3.444
! raw formation energy = -3.77 eV per formula unit
! crystal system = tetragonal

---

10.
! Mn2Ni15Mo2 (PBE, relaxed); values from VASP
&SYSTEM
  ibrav = 0, nat = 19, ntyp = 3
/
ATOMIC_SPECIES
Mn 54.94 Mn.upf
Ni 58.69 Ni.upf
Mo 95.94 Mo.upf
ATOMIC_POSITIONS crystal
Mn 0.101 0.101 0.101
Mn 0.899 0.899 0.899
Ni 0.000 0.000 0.500
Ni 0.000 0.314 0.686
Ni 0.000 0.500 0.000
Ni 0.000 0.686 0.314
Ni 0.161 0.652 0.652
Ni 0.314 0.000 0.686
Ni 0.314 0.686 0.000
Ni 0.348 0.348 0.839
Ni 0.348 0.839 0.348
Ni 0.500 0.000 0.000
Ni 0.652 0.161 0.652
Ni 0.652 0.652 0.161
Ni 0.686 0.000 0.314
Ni 0.686 0.314 0.000
Ni 0.839 0.348 0.348
Mo 0.305 0.305 0.305
Mo 0.695 0.695 0.695
CELL_PARAMETERS angstrom
4.013 2.317 4.071
-4.013 2.317 4.071
0.000 -4.634 4.071
! crystal system = trigonal
! energy of formation from the pure elements = 0.1370 eV/atom

---

11.
! Zn3SiPt (PBE, relaxed); values from VASP
&SYSTEM
  ibrav = 0, nat = 5, ntyp = 3
/
ATOMIC_SPECIES
Zn 65.41 Zn.upf
Si 28.09 Si.upf
Pt 195.08 Pt.upf
ATOMIC_POSITIONS crystal
Zn 0.000 0.000 0.500
Zn 0.000 0.500 0.000
Zn 0.500 0.000 0.000
Si 0.000 0.000 0.000
Pt 0.500 0.500 0.500
CELL_PARAMETERS angstrom
4.568 0.000 0.000
0.000 4.568 0.000
0.000 0.000 4.568
! raw formation energy = 2.82 eV per formula unit
! energy above the lowest structure with this stoichiometry = 179.6 meV/atom
! crystal system = cubic

---

12.
! BeCuOs2 (PBE, relaxed); values from VASP
&SYSTEM
  ibrav = 0, nat = 4, ntyp = 3
/
ATOMIC_SPECIES
Be 9.01 Be.upf
Cu 63.55 Cu.upf
Os 190.23 Os.upf
ATOMIC_POSITIONS crystal
Be 0.000 0.000 0.000
Cu 0.000 0.000 0.500
Os 0.500 0.500 0.231
Os 0.500 0.500 0.769
CELL_PARAMETERS angstrom
1.380 -2.235 0.000
1.380 2.235 0.000
0.000 0.000 8.328
! crystal system = orthorhombic
! energy of formation from the pure elements = 0.2896 eV/atom

---

13.
! Np3Ru (PBE, relaxed); values from VASP
&SYSTEM
  ibrav = 0, nat = 4, ntyp = 2
/
ATOMIC_SPECIES
Np 237.00 Np.upf
Ru 101.07 Ru.upf
ATOMIC_POSITIONS crystal
Np 0.000 0.000 0.000
Np 0.008 0.782 0.226
Np 0.556 0.782 0.774
Ru 0.470 0.970 0.500
CELL_PARAMETERS angstrom
-1.419 5.142 2.437
1.419 -5.142 2.437
1.419 5.142 -2.437
! crystal system = orthorhombic
! energy of formation from the pure elements = 0.1626 eV/atom

---

Number 1: total moment 0.000 Bohr magnetons per cell, final energy -0.3715 hartree per atom. Number 2: total moment 1.515 Bohr magnetons per cell, final energy -0.1638 hartree per atom. Number 3: total moment 0.000 Bohr magnetons per cell, final energy -0.1847 hartree per atom. Number 4: total moment 0.000 Bohr magnetons per cell, final energy -0.1035 hartree per atom. Number 5: total moment 0.000 Bohr magnetons per cell, final energy -0.1652 hartree per atom. Number 6: total moment 0.002 Bohr magnetons per cell, final energy -0.2432 hartree per atom. Number 7: total moment 0.001 Bohr magnetons per cell, final energy -0.1465 hartree per atom. Number 8: total moment 0.002 Bohr magnetons per cell, final energy -0.1831 hartree per atom. Number 9: total moment 0.000 Bohr magnetons per cell, final energy -0.1726 hartree per atom. Number 10: total moment 9.615 Bohr magnetons per cell, final energy -0.2401 hartree per atom. Number 11: total moment 0.000 Bohr magnetons per cell, final energy -0.0916 hartree per atom. Number 12: total moment 0.000 Bohr magnetons per cell, final energy -0.2676 hartree per atom. Number 13: total moment 1.582 Bohr magnetons per cell, final energy -0.4359 hartree per atom.